(1)
Nd4Rh2I5: optimized geometry, PBE.

Calculated values
Formation energy from raw total energies ... -493 meV/atom
Symmetry ... Immm, No. 71
DOS(E_F) ... 7.6 states/eV/f.u.

Cell lengths 4.006, 9.858, 11.112 Å; angles 116.33, 100.39, 90.00 degrees
Element x y z (fractional)
Nd1 0.000 0.704 0.000
Nd2 0.332 0.332 0.664
Nd3 0.668 0.668 0.336
Nd4 0.000 0.296 0.000
I1 0.842 0.598 0.683
I2 0.500 0.000 0.000
I3 0.158 0.402 0.317
I4 0.842 0.086 0.683
I5 0.158 0.914 0.317
Rh1 0.208 0.208 0.415
Rh2 0.792 0.792 0.585

=====

(2)
NdRhI2: optimized geometry, PBE.

Calculated values
Formation energy from raw total energies ... -14 meV/atom
Symmetry ... R-3m, No. 166
DOS(E_F) ... 5.1 states/eV/f.u.

Cell lengths 3.969, 3.969, 9.586 Å; angles 78.05, 78.05, 60.00 degrees
Element x y z (fractional)
I1 0.888 0.888 0.336
I2 0.112 0.112 0.664
Nd1 0.000 0.000 0.000
Rh1 0.500 0.500 0.500

=====

(3)
Nd7RhI12: optimized geometry, PBE.

Calculated values
Formation energy from raw total energies ... -1270 meV/atom
Symmetry ... R-3, No. 148
DOS(E_F) ... 15.4 states/eV/f.u.

Cell lengths 10.028, 10.028, 10.028 Å; angles 107.24, 107.24, 107.24 degrees
Element x y z (fractional)
I1 0.319 0.774 0.926
I2 0.842 0.611 0.530
I3 0.530 0.842 0.611
I4 0.926 0.319 0.774
I5 0.074 0.681 0.226
I6 0.158 0.389 0.470
I7 0.774 0.926 0.319
I8 0.681 0.226 0.074
I9 0.470 0.158 0.389
I10 0.226 0.074 0.681
I11 0.389 0.470 0.158
I12 0.611 0.530 0.842
Rh1 0.000 0.000 0.000
Nd1 0.102 0.028 0.305
Nd2 0.898 0.972 0.695
Nd3 0.695 0.898 0.972
Nd4 0.305 0.102 0.028
Nd5 0.500 0.500 0.500
Nd6 0.028 0.305 0.102
Nd7 0.972 0.695 0.898